GdYMg3Cu2 | GGA-PBE | optimized geometry

## Properties
**E_tot**: -3.4713 eV/atom
**Calculated volume**: 156.49 Å³/cell

```
GdYMg3Cu2
1.0
3.5988 0.0000 0.0000
0.0000 2.0777 10.4642
0.0000 -2.0777 10.4642
Mg Cu Gd Y
3 2 1 1
Direct
0.0000 0.0768 0.0768 Mg
0.5000 0.4996 0.4996 Mg
0.0000 0.9225 0.9225 Mg
0.0000 0.7860 0.7860 Cu
0.0000 0.2146 0.2146 Cu
0.5000 0.6721 0.6721 Gd
0.5000 0.3284 0.3284 Y
```


Nb4TlSiN2 | GGA-PBE | optimized geometry

## Properties
**E_tot**: -8.6448 eV/atom
**Calculated volume**: 119.97 Å³/cell

```
Nb4TlSiN2
1.0
-1.5945 1.4494 2.4164
-1.6216 -1.1109 -2.5727
-1.5207 -11.6763 6.0003
N Tl Si Nb
2 1 1 4
Direct
0.3333 0.6667 0.2329 N
0.3333 0.6667 0.7671 N
0.0000 0.0000 0.5000 Tl
0.6667 0.3333 0.0000 Si
0.0000 0.0000 0.1421 Nb
0.0000 0.0000 0.8579 Nb
0.6667 0.3333 0.3157 Nb
0.6667 0.3333 0.6843 Nb
```


LiScMoOs | GGA-PBE | optimized geometry

## Properties
**Energy relative to the lowest polymorph listed for this composition**: 0.052 eV/atom
**Calculated volume**: 60.90 Å³/cell

```
LiScMoOs
1.0
0.0000 3.1226 3.1226
3.1226 0.0000 3.1226
3.1226 3.1226 0.0000
Sc Mo Os Li
1 1 1 1
Direct
0.0000 0.0000 0.0000 Sc
0.2500 0.2500 0.2500 Mo
0.5000 0.5000 0.5000 Os
0.7500 0.7500 0.7500 Li
```


K2PdBr3Cl | GGA-PBE | optimized geometry

## Properties
**E_tot**: -3.2512 eV/atom
**Calculated volume**: 237.55 Å³/cell

```
K2PdBr3Cl
1.0
4.3372 0.0000 0.0000
0.0000 5.1345 5.3337
0.0000 -5.1345 5.3337
K Pd Br Cl
2 1 3 1
Direct
0.5000 0.4902 0.0120 K
0.5000 0.0120 0.4902 K
0.0000 0.0016 0.0016 Pd
0.0000 0.7712 0.7712 Br
0.0000 0.2418 0.7607 Br
0.0000 0.7607 0.2418 Br
0.0000 0.2226 0.2226 Cl
```


RbMgBiPd | GGA-PBE | optimized geometry

## Properties
**Energy relative to the lowest polymorph listed for this composition**: 0.000 eV/atom
**Calculated volume**: 103.94 Å³/cell

```
RbMgBiPd
1.0
0.0000 3.7318 3.7318
3.7318 0.0000 3.7318
3.7318 3.7318 0.0000
Pd Rb Mg Bi
1 1 1 1
Direct
0.2500 0.2500 0.2500 Pd
0.5000 0.5000 0.5000 Rb
0.7500 0.7500 0.7500 Mg
0.0000 0.0000 0.0000 Bi
```


YBPt | GGA-PBE | optimized geometry

## Properties
**Energy relative to the lowest polymorph listed for this composition**: 0.000 eV/atom
**Calculated volume**: 51.47 Å³/cell

```
YBPt
1.0
2.4716 0.8503 3.2560
1.3077 3.9094 0.6636
-1.4871 2.1776 3.2373
Y B Pt
1 1 1
Direct
0.7500 0.7500 0.7500 Y
0.0000 0.0000 0.0000 B
0.2500 0.2500 0.2500 Pt
```


PmHoU | GGA-PBE | optimized geometry

## Properties
**Energy relative to the lowest polymorph listed for this composition**: 0.000 eV/atom
**Energy of formation**: 369 kJ/mol of formula units
**Calculated volume**: 101.36 Å³/cell

```
PmHoU
1.0
2.6048 -4.2983 1.4594
-1.1204 -2.3181 4.5565
-2.4239 -4.6382 0.0500
U Ho Pm
1 1 1
Direct
0.0000 0.0000 0.0000 U
0.2500 0.2500 0.2500 Ho
0.7500 0.7500 0.7500 Pm
```


Er3LuPt4 | GGA-PBE | optimized geometry

## Properties
**Energy of formation**: -1020 kJ/mol of formula units
**Calculated volume**: 170.60 Å³/cell

```
Er3LuPt4
1.0
-4.7692 -2.7131 -0.6407
2.1172 -3.8769 0.6567
-1.1727 0.5108 6.7958
Pt Lu Er
4 1 3
Direct
0.1562 0.0000 0.0478 Pt
0.3417 0.0000 0.5414 Pt
0.8447 0.5000 0.9571 Pt
0.6574 0.5000 0.4542 Pt
0.1408 0.5000 0.3186 Lu
0.3586 0.5000 0.8184 Er
0.8593 0.0000 0.6807 Er
0.6412 0.0000 0.1818 Er
```